<a>
First-principles (PBE-GGA) data for a geometry-optimized Sn3IrCl structure, as listed in Alexandria via LeMat-Bulk.

The calculation puts the density of states at the Fermi level at 1.286 states/eV/atom. For the calculated volume, the calculation gives 141 Å³ per cell. Its crystal system is cubic.

The space group is Pm-3m (No. 221) and the conventional cell measures 5.200, 5.200 and 5.200 Å, with angles of 90.00, 90.00 and 90.00 degrees. Symmetry generates all atoms from Sn at (0.000, 0.000, 0.500), Ir at (0.000, 0.000, 0.000) and Cl at (0.500, 0.500, 0.500).



<b>
First-principles (PBE-GGA) data for a geometry-optimized Sn3IrCl structure, as listed in Alexandria via LeMat-Bulk.

The calculation puts the density of states at the Fermi level at 1.257 states/eV/atom. For the calculated volume, the calculation gives 138 Å³ per cell. Its crystal system is cubic.

The space group is Pm-3m (No. 221) and the conventional cell measures 5.166, 5.166 and 5.166 Å, with angles of 90.00, 90.00 and 90.00 degrees. Symmetry generates all atoms from Sn at (0.000, 0.000, 0.500), Ir at (0.500, 0.500, 0.500) and Cl at (0.000, 0.000, 0.000).



Unit: kJ/mol of atoms. Relative energies: <a> 0.0; <b> 111.9.



<a>
First-principles (PBE-GGA) data for a geometry-optimized SrIrCl2 structure, as listed in Alexandria via LeMat-Bulk.

The calculation puts the density of states at the Fermi level at 1.381 states/eV/atom. For the calculated volume, the calculation gives 256 Å³ per cell. Its crystal system is monoclinic.

The space group is C2/m (No. 12) and the conventional cell measures 13.004, 4.167 and 4.734 Å, with angles of 90.00, 92.52 and 90.00 degrees. Symmetry generates all atoms from Sr at (0.000, 0.000, 0.000), Ir at (0.000, 0.500, 0.500) and Cl at (0.148, 0.500, 0.774).



<b>
First-principles (PBE-GGA) data for a geometry-optimized SrIrCl2 structure, as listed in Alexandria via LeMat-Bulk.

The calculation puts the density of states at the Fermi level at 1.062 states/eV/atom. For the calculated volume, the calculation gives 196 Å³ per cell. Its crystal system is monoclinic.

The space group is C2/m (No. 12) and the conventional cell measures 6.676, 7.903 and 4.983 Å, with angles of 90.00, 131.81 and 90.00 degrees. Symmetry generates all atoms from Sr at (0.000, 0.000, 0.000), Ir at (0.000, 0.500, 0.000) and Cl at (0.250, 0.250, 0.500).



Unit: kJ/mol of atoms. Relative energies: <a> 0.0; <b> 29.4.



<a>
First-principles (PBE-GGA) data for a geometry-optimized SrIrCl2 structure, as listed in Alexandria via LeMat-Bulk.

The calculation puts the density of states at the Fermi level at 1.038 states/eV/atom. For the calculated volume, the calculation gives 88 Å³ per cell. Its crystal system is orthorhombic.

The space group is Pmmm (No. 47) and the conventional cell measures 3.420, 4.344 and 5.916 Å, with angles of 90.00, 90.00 and 90.00 degrees. Symmetry generates all atoms from Sr at (0.000, 0.000, 0.000), Ir at (0.500, 0.000, 0.500), Cl at (0.000, 0.500, 0.500) and Cl at (0.500, 0.500, 0.000).



<b>
First-principles (PBE-GGA) data for a geometry-optimized SrIrCl2 structure, as listed in Alexandria via LeMat-Bulk.

The calculation puts the density of states at the Fermi level at 0.260 states/eV/atom. For the calculated volume, the calculation gives 189 Å³ per cell. Its crystal system is orthorhombic.

The space group is Immm (No. 71) and the conventional cell measures 3.927, 5.153 and 9.322 Å, with angles of 90.00, 90.00 and 90.00 degrees. Symmetry generates all atoms from Sr at (0.000, 0.000, 0.000), Ir at (0.000, 0.000, 0.500) and Cl at (0.000, 0.500, 0.170).



<c>
First-principles (PBE-GGA) data for a geometry-optimized SrIrCl2 structure, as listed in Alexandria via LeMat-Bulk.

The calculation puts the density of states at the Fermi level at 0.387 states/eV/atom. For the calculated volume, the calculation gives 189 Å³ per cell. Its crystal system is orthorhombic.

The space group is Cmmm (No. 65) and the conventional cell measures 6.443, 7.047 and 4.153 Å, with angles of 90.00, 90.00 and 90.00 degrees. Symmetry generates all atoms from Sr at (0.000, 0.000, 0.000), Ir at (0.000, 0.500, 0.000) and Cl at (0.000, 0.299, 0.500).



Unit: kJ/mol of atoms. Relative energies: <a> 21.2; <b> 0.0; <c> 5.6.



<a>
First-principles (PBE-GGA) data for a geometry-optimized Ta2IrCl structure, as listed in Alexandria via LeMat-Bulk.

The calculation puts the density of states at the Fermi level at 0.682 states/eV/atom. For the calculated volume, the calculation gives 289 Å³ per cell. Its crystal system is tetragonal.

The space group is I-42d (No. 122) and the conventional cell measures 6.749, 6.749 and 6.352 Å, with angles of 90.00, 90.00 and 90.00 degrees. Symmetry generates all atoms from Ta at (0.236, 0.750, 0.125), Ir at (0.000, 0.000, 0.500) and Cl at (0.000, 0.000, 0.000).



<b>
First-principles (PBE-GGA) data for a geometry-optimized Ta2IrCl structure, as listed in Alexandria via LeMat-Bulk.

The calculation puts the density of states at the Fermi level at 0.894 states/eV/atom. For the calculated volume, the calculation gives 227 Å³ per cell. Its crystal system is trigonal.

The space group is R3m (No. 160, hexagonal axes) and the conventional cell measures 3.0079, 3.0079 and 29.0069 Å, with angles of 90.00, 90.00 and 120.00 degrees. Symmetry generates all atoms from Ta at (0.0000, 0.0000, 0.0000), Ta at (0.0000, 0.0000, 0.2476), Ir at (0.0000, 0.0000, 0.7355) and Cl at (0.0000, 0.0000, 0.5187).



<c>
First-principles (PBE-GGA) data for a geometry-optimized Ta2IrCl structure, as listed in Alexandria via LeMat-Bulk.

The calculation puts the density of states at the Fermi level at 0.777 states/eV/atom. For the calculated volume, the calculation gives 276 Å³ per cell. Its crystal system is cubic.

The space group is F-43m (No. 216) and the conventional cell measures 6.514, 6.514 and 6.514 Å, with angles of 90.00, 90.00 and 90.00 degrees. Symmetry generates all atoms from Ta at (0.000, 0.000, 0.000), Ta at (0.250, 0.250, 0.250), Ir at (0.000, 0.000, 0.500) and Cl at (0.250, 0.250, 0.750).



<d>
First-principles (PBE-GGA) data for a geometry-optimized Ta2IrCl structure, as listed in Alexandria via LeMat-Bulk.

The calculation puts the density of states at the Fermi level at 0.789 states/eV/atom. For the calculated volume, the calculation gives 132 Å³ per cell. Its crystal system is orthorhombic.

The space group is Imm2 (No. 44) and the conventional cell measures 2.949, 4.648 and 9.649 Å, with angles of 90.00, 90.00 and 90.00 degrees. Symmetry generates all atoms from Ta at (0.000, 0.000, 0.000), Ta at (0.000, 0.500, 0.218), Ir at (0.000, 0.000, 0.473) and Cl at (0.000, 0.500, 0.710).



Unit: kJ/mol of atoms. Relative energies: <a> 46.3; <b> 0.0; <c> 88.7; <d> 25.5.



<a>
First-principles (PBE-GGA) data for a geometry-optimized Ta2IrCl structure, as listed in Alexandria via LeMat-Bulk.

The calculation puts the density of states at the Fermi level at 1.020 states/eV/atom. For the calculated volume, the calculation gives 69 Å³ per cell. Its crystal system is orthorhombic.

The space group is Pmmm (No. 47) and the conventional cell measures 2.914, 2.926 and 8.096 Å, with angles of 90.00, 90.00 and 90.00 degrees. Symmetry generates all atoms from Ta at (0.000, 0.000, 0.234), Ir at (0.500, 0.500, 0.000) and Cl at (0.500, 0.000, 0.500).



<b>
First-principles (PBE-GGA) data for a geometry-optimized Ta2IrCl structure, as listed in Alexandria via LeMat-Bulk.

The calculation puts the density of states at the Fermi level at 0.918 states/eV/atom. For the calculated volume, the calculation gives 136 Å³ per cell. Its crystal system is orthorhombic.

The space group is Immm (No. 71) and the conventional cell measures 2.999, 5.255 and 8.607 Å, with angles of 90.00, 90.00 and 90.00 degrees. Symmetry generates all atoms from Ta at (0.000, 0.000, 0.232), Ir at (0.000, 0.500, 0.000) and Cl at (0.000, 0.500, 0.500).



Unit: kJ/mol of atoms. Relative energies: <a> 0.0; <b> 48.6.